Here is Tb3Ho6Cd after structural relaxation from the Alexandria database. Energies are from PBE-GGA.

```
20
Lattice="4.992 0.000 0.000 0.000 10.903 -0.288 0.000 -0.018 11.146" Properties=species:S:1:pos:R:3 pbc="T T T"
Ho 3.744 10.397 0.886
Cd 1.248 10.305 6.516
Ho 1.248 0.488 9.971
Ho 3.744 8.340 5.430
Tb 3.744 4.874 6.542
Ho 1.248 7.123 7.638
Tb 1.248 8.209 -0.121
Ho 3.744 3.762 3.219
Ho 3.744 1.474 7.581
Tb 1.248 3.754 8.729
Cd 3.744 0.580 4.342
Ho 1.248 4.891 1.005
Ho 1.248 1.663 2.070
Ho 1.248 2.545 5.427
Ho 3.744 9.222 8.787
Tb 1.248 6.011 4.315
Ho 3.744 5.994 9.852
Ho 1.248 9.411 3.277
Tb 3.744 2.675 10.978
Tb 3.744 7.131 2.128
```

Values from the calculation:
Raw total energy, Ry/atom: -0.3119
Energy relative to the lowest polymorph listed for this composition, eV/atom: 0.000
E_form, eV/atom: -0.017
SG: No. 11